(1)
Here is a relaxed TaFe2W crystal from Alexandria via LeMat-Bulk. Energies are from GGA-PBE.

Computed properties:
SG   R3m, No. 160
VASP energy   -40.49 eV/f.u.

Cell: 2.8006 2.8006 26.0829 Å, 90.00 90.00 120.00°
Sites, in units of the cell vectors:
Ta (0.0000, 0.0000, 0.0000)
Ta (0.3333, 0.6667, 0.6667)
Ta (0.6667, 0.3333, 0.3333)
Fe (0.0000, 0.0000, 0.4887)
Fe (0.0000, 0.0000, 0.7514)
Fe (0.3333, 0.6667, 0.1554)
Fe (0.3333, 0.6667, 0.4181)
Fe (0.6667, 0.3333, 0.0847)
Fe (0.6667, 0.3333, 0.8221)
W (0.0000, 0.0000, 0.2367)
W (0.3333, 0.6667, 0.9034)
W (0.6667, 0.3333, 0.5700)

=====

(2)
Here is a relaxed YTa2Fe crystal from Alexandria via LeMat-Bulk. Energies are from GGA-PBE.

Computed properties:
SG   I4_1/amd, No. 141
Energy above the lowest structure with this stoichiometry   976.9 meV per atom

Cell: 4.9673 4.9673 16.4790 Å, 90.00 90.00 90.00°
Sites, in units of the cell vectors:
Y (0.0000, 0.2500, 0.3750)
Y (0.0000, 0.7500, 0.6250)
Y (0.5000, 0.2500, 0.1250)
Y (0.5000, 0.7500, 0.8750)
Ta (0.0000, 0.0000, 0.0000)
Ta (0.0000, 0.5000, 0.0000)
Ta (0.2500, 0.2500, 0.7500)
Ta (0.2500, 0.7500, 0.2500)
Ta (0.5000, 0.0000, 0.5000)
Ta (0.5000, 0.5000, 0.5000)
Ta (0.7500, 0.2500, 0.7500)
Ta (0.7500, 0.7500, 0.2500)
Fe (0.0000, 0.2500, 0.8750)
Fe (0.0000, 0.7500, 0.1250)
Fe (0.5000, 0.2500, 0.6250)
Fe (0.5000, 0.7500, 0.3750)

=====

(3)
Here is a relaxed YTa2Fe crystal from Alexandria via LeMat-Bulk. Energies are from GGA-PBE.

Computed properties:
SG   I4/mmm, No. 139
Energy above the lowest structure with this stoichiometry   321.8 meV per atom

Cell: 3.9355 3.9355 9.8187 Å, 90.00 90.00 90.00°
Sites, in units of the cell vectors:
Y (0.0000, 0.0000, 0.0000)
Y (0.5000, 0.5000, 0.5000)
Ta (0.0000, 0.5000, 0.2500)
Ta (0.0000, 0.5000, 0.7500)
Ta (0.5000, 0.0000, 0.2500)
Ta (0.5000, 0.0000, 0.7500)
Fe (0.0000, 0.0000, 0.5000)
Fe (0.5000, 0.5000, 0.0000)